No. 1
Entry from Alexandria via LeMat-Bulk: crystalline ScTi2Zn9 at its relaxed geometry (PBE-GGA).

The crystal system is trigonal. The calculated density is 6.445 g/cm3. The calculation puts the calculated formation energy at -0.193 eV/atom.

It has space group R-3m (No. 166, hexagonal axes), with a = 5.1233 Å, b = 5.1233 Å, c = 24.8013 Å, α = 90.00°, β = 90.00° and γ = 120.00°. The asymmetric unit holds Sc at (0.0000, 0.0000, 0.0000), Ti at (0.0000, 0.0000, 0.1467), Zn at (0.0000, 0.0000, 0.3349), Zn at (0.0000, 0.0000, 0.5000) and Zn at (0.0071, 0.5035, 0.9140).

***

No. 2
Entry from Alexandria via LeMat-Bulk: crystalline NaCaNb at its relaxed geometry (PBE-GGA).

The crystal system is orthorhombic. The calculated density is 2.738 g/cm3. The calculation puts the calculated formation energy at 1.061 eV/atom.

It has space group Pnma (No. 62), with a = 12.0652 Å, b = 5.6275 Å, c = 5.5731 Å, α = 90.00°, β = 90.00° and γ = 90.00°. The asymmetric unit holds Na at (0.2271, 0.2500, 0.0007), Ca at (0.0000, 0.0000, 0.5000) and Nb at (0.0328, 0.7500, 0.0001).

***

No. 3
Entry from Alexandria via LeMat-Bulk: crystalline BaNaPt at its relaxed geometry (PBE-GGA).

The crystal system is cubic. The calculated density is 5.889 g/cm3. The calculation puts the calculated formation energy at -0.360 eV/atom.

It has space group F-43m (No. 216), with a = 7.3732 Å, b = 7.3732 Å, c = 7.3732 Å, α = 90.00°, β = 90.00° and γ = 90.00°. The asymmetric unit holds Ba at (0.0000, 0.0000, 0.0000), Na at (0.0000, 0.0000, 0.5000) and Pt at (0.2500, 0.2500, 0.2500).

***

No. 4
Entry from Alexandria via LeMat-Bulk: crystalline TcAuBr at its relaxed geometry (PBE-GGA).

The crystal system is trigonal. The calculated density is 10.715 g/cm3. Its energy relative to the elements, uncorrected is 1.46 eV per formula unit.

It has space group P3m1 (No. 156), with a = 3.1173 Å, b = 3.1173 Å, c = 6.9031 Å, α = 90.00°, β = 90.00° and γ = 120.00°. The asymmetric unit holds Tc at (0.0000, 0.0000, 0.0000), Au at (0.6667, 0.3333, 0.3078) and Br at (0.3333, 0.6667, 0.7406).

***

No. 5
Entry from Alexandria via LeMat-Bulk: crystalline La12Dy3Al at its relaxed geometry (PBE-GGA).

The crystal system is tetragonal. The calculated density is 6.624 g/cm3. The calculation puts the calculated formation energy at -0.027 eV/atom.

It has space group P4/mmm (No. 123), with a = 5.1348 Å, b = 5.1348 Å, c = 20.7399 Å, α = 90.00°, β = 90.00° and γ = 90.00°. The asymmetric unit holds La at (0.0000, 0.0000, 0.0000), La at (0.0000, 0.0000, 0.2474), La at (0.0000, 0.0000, 0.5000), La at (0.0000, 0.5000, 0.1179), La at (0.0000, 0.5000, 0.3730), Dy at (0.5000, 0.5000, 0.2463), Dy at (0.5000, 0.5000, 0.5000) and Al at (0.5000, 0.5000, 0.0000).

***

No. 6
Entry from Alexandria via LeMat-Bulk: crystalline Cu2RuSe at its relaxed geometry (PBE-GGA).

The crystal system is tetragonal. The calculated density is 9.042 g/cm3. Its energy relative to the elements, uncorrected is 0.57 eV per formula unit.

It has space group P4mm (No. 99), with a = 3.0917 Å, b = 3.0917 Å, c = 5.9008 Å, α = 90.00°, β = 90.00° and γ = 90.00°. The asymmetric unit holds Cu at (0.0000, 0.0000, 0.0000), Cu at (0.5000, 0.5000, 0.1999), Ru at (0.0000, 0.0000, 0.4734) and Se at (0.5000, 0.5000, 0.6958).

***

No. 7
Entry from Alexandria via LeMat-Bulk: crystalline SrPr at its relaxed geometry (PBE-GGA).

The crystal system is orthorhombic. The calculated density is 4.263 g/cm3. The calculation puts the calculated formation energy at 0.117 eV/atom.

It has space group Pmmn (No. 59, origin choice 2), with a = 4.0602 Å, b = 4.7512 Å, c = 9.2279 Å, α = 90.00°, β = 90.00° and γ = 90.00°. The asymmetric unit holds Sr at (0.2500, 0.2500, 0.1559) and Pr at (0.2500, 0.2500, 0.5855).

***

No. 8
Entry from Alexandria via LeMat-Bulk: crystalline NbAlHg2 at its relaxed geometry (PBE-GGA).

The crystal system is tetragonal. The calculated density is 10.516 g/cm3. The calculation puts the calculated formation energy at 0.384 eV/atom.

It has space group I-42d (No. 122), with a = 7.5428 Å, b = 7.5428 Å, c = 5.7847 Å, α = 90.00°, β = 90.00° and γ = 90.00°. The asymmetric unit holds Nb at (0.0000, 0.0000, 0.0000), Al at (0.0000, 0.0000, 0.5000) and Hg at (0.2281, 0.2500, 0.6250).

***

No. 9
Entry from Alexandria via LeMat-Bulk: crystalline SrHf2Bi2 at its relaxed geometry (PBE-GGA).

The crystal system is tetragonal. The calculated density is 10.220 g/cm3. The calculation puts the calculated formation energy at -0.061 eV/atom.

It has space group P4/mbm (No. 127), with a = 8.5166 Å, b = 8.5166 Å, c = 3.8644 Å, α = 90.00°, β = 90.00° and γ = 90.00°. The asymmetric unit holds Sr at (0.0000, 0.0000, 0.0000), Hf at (0.1318, 0.3682, 0.5000) and Bi at (0.1503, 0.6503, 0.0000).

***

No. 10
Entry from Alexandria via LeMat-Bulk: crystalline LiPrP2O6 at its relaxed geometry (PBE-GGA).

The crystal system is trigonal. The calculated density is 3.569 g/cm3. Its energy relative to the elements, uncorrected is -21.56 eV per formula unit.

It has space group R-3 (No. 148, hexagonal axes), with a = 5.3521 Å, b = 5.3521 Å, c = 17.2071 Å, α = 90.00°, β = 90.00° and γ = 120.00°. The asymmetric unit holds Li at (0.0000, 0.0000, 0.0000), Pr at (0.0000, 0.0000, 0.5000), P at (0.0000, 0.0000, 0.2341) and O at (0.0079, 0.7226, 0.2566).

***

No. 11
Entry from Alexandria via LeMat-Bulk: crystalline NiSn2HAu at its relaxed geometry (PBE-GGA).

The crystal system is tetragonal. The value obtained for the electronic total energy is -4.033 eV per atom. The calculated density is 9.340 g/cm3.

It has space group P4/mmm (No. 123), with a = 5.1724 Å, b = 5.1724 Å, c = 3.2833 Å, α = 90.00°, β = 90.00° and γ = 90.00°. The asymmetric unit holds Ni at (0.0000, 0.0000, 0.0000), Sn at (0.0000, 0.5000, 0.0000), H at (0.0000, 0.0000, 0.5000) and Au at (0.5000, 0.5000, 0.5000).

***

No. 12
Entry from Alexandria via LeMat-Bulk: crystalline Zr2TiReBr at its relaxed geometry (PBE-GGA).

The crystal system is tetragonal. The calculated density is 7.137 g/cm3. Its energy relative to the elements, uncorrected is 6.87 eV per formula unit.

It has space group P4/mmm (No. 123), with a = 5.0410 Å, b = 5.0410 Å, c = 4.5455 Å, α = 90.00°, β = 90.00° and γ = 90.00°. The asymmetric unit holds Zr at (0.0000, 0.5000, 0.0000), Ti at (0.0000, 0.0000, 0.0000), Re at (0.5000, 0.5000, 0.5000) and Br at (0.0000, 0.0000, 0.5000).